No. 1
VASP calculation (PBE) on crystalline TlAgHgI4 at its relaxed geometry.

Its total DFT energy (no corrections) is -2.024 eV/atom. The raw formation energy is -350 meV/atom. For the density of states at the Fermi level, the calculation gives 0.00 states/eV/f.u. For the density, the calculation gives 5.75 g/cm3. For the spin magnetization, the calculation gives 0.0000 μB per atom.

Cell: 7.4487 8.6215 9.3591 Å, 90.00 101.19 90.00°
Space group P2_1/m (No. 11)
Symmetry-distinct sites (fractional):
Tl 0.1884 0.2500 0.0432 x2
Ag 0.2990 0.2500 0.6933 x2
Hg 0.2242 0.7500 0.3331 x2
I 0.0421 0.0055 0.7336 x4
I 0.3913 0.7500 0.0672 x2
I 0.4677 0.2500 0.4451 x2



No. 2
VASP calculation (PBE) on crystalline Sr2In5Hg at its relaxed geometry.

Its total DFT energy (no corrections) is -2.516 eV/atom. For the energy of formation, the calculation gives -0.3466 eV/atom. For the density of states at the Fermi level, the calculation gives 2.49 states/eV/f.u. For the density, the calculation gives 6.59 g/cm3. For the spin magnetization, the calculation gives 0.0000 μB per atom. The value obtained for the energy above the most stable polymorph in this dataset is 0.0 meV per atom.

Cell: 4.8924 18.7471 10.4349 Å, 90.00 90.00 90.00°
Space group Cmcm (No. 63)
Symmetry-distinct sites (fractional):
Sr 0.0000 0.0000 0.0000 x4
Sr 0.0000 0.1947 0.2500 x4
In 0.0000 0.1940 0.6041 x8
In 0.0000 0.3557 0.5311 x8
In 0.0000 0.3997 0.2500 x4
Hg 0.0000 0.4502 0.7500 x4



No. 3
VASP calculation (PBE) on crystalline InSnPb2 at its relaxed geometry.

Its total DFT energy (no corrections) is -3.423 eV/atom. For the energy of formation, the calculation gives 0.1169 eV/atom. For the density of states at the Fermi level, the calculation gives 2.20 states/eV/f.u. For the density, the calculation gives 8.19 g/cm3. For the spin magnetization, the calculation gives 0.0000 μB per atom. The value obtained for the energy above the most stable polymorph in this dataset is 102.9 meV per atom.

Cell: 4.7759 4.7759 19.9471 Å, 90.00 90.00 120.00°
Space group R3m (No. 160, hexagonal axes)
Symmetry-distinct sites (fractional):
In 0.0000 0.0000 0.0000 x3
Sn 0.0000 0.0000 0.1692 x3
Pb 0.0000 0.0000 0.5811 x3
Pb 0.0000 0.0000 0.7556 x3



No. 4
VASP calculation (PBE) on crystalline Tl4In3Hg5 at its relaxed geometry.

Its total DFT energy (no corrections) is -1.590 eV/atom. For the energy of formation, the calculation gives 0.0088 eV/atom. For the density of states at the Fermi level, the calculation gives 4.28 states/eV/f.u. For the density, the calculation gives 10.54 g/cm3. For the spin magnetization, the calculation gives 0.0000 μB per atom.

Cell: 6.2623 6.5731 8.8279 Å, 76.41 75.09 84.18°
Space group P-1 (No. 2)
Symmetry-distinct sites (fractional):
Tl 0.1924 0.3998 0.3517 x2
Tl 0.2947 0.8457 0.6413 x2
In 0.0000 0.0000 0.0000 x1
In 0.3238 0.3275 0.7085 x2
Hg 0.0000 0.5000 0.0000 x1
Hg 0.1959 0.9129 0.2990 x2
Hg 0.4825 0.7472 0.9781 x2